(1)
Entry from the Alexandria database: a relaxed Nd4CuTc crystal (PBE).

The space group is C2/c (No. 15) and the conventional cell measures 9.1980, 13.2861 and 6.4817 Å, with angles of 90.00, 121.92 and 90.00 degrees. The inequivalent atoms are Nd at (0.1210, 0.1748, 0.0911), Nd at (0.2030, 0.4297, 0.2898), Cu at (0.0000, 0.3705, 0.7500) and Tc at (0.0000, 0.0026, 0.7500).

The formation energy comes out at -0.03 eV per atom.

(2)
Entry from the Alexandria database: a relaxed NdCuTc crystal (PBE).

The space group is C2/m (No. 12) and the conventional cell measures 11.8556, 4.0056 and 5.3482 Å, with angles of 90.00, 97.97 and 90.00 degrees. The inequivalent atoms are Nd at (0.1144, 0.0000, 0.3454), Cu at (0.2160, 0.0000, 0.8777) and Tc at (0.0743, 0.5000, 0.8857).

The formation energy comes out at 0.14 eV per atom.

(3)
Entry from the Alexandria database: a relaxed Nd12Cu5Tc3 crystal (PBE).

The space group is Ia-3d (No. 230) and the conventional cell measures 16.8536, 16.8536 and 16.8536 Å, with angles of 90.00, 90.00 and 90.00 degrees. The inequivalent atoms are Nd at (0.0212, 0.0740, 0.6518), Cu at (0.0000, 0.0000, 0.0000), Cu at (0.0000, 0.2500, 0.3750) and Tc at (0.0000, 0.2500, 0.1250).

The formation energy comes out at 0.34 eV per atom.

(4)
Entry from the Alexandria database: a relaxed NdThCuTc crystal (PBE).

The space group is F-43m (No. 216) and the conventional cell measures 7.1277, 7.1277 and 7.1277 Å, with angles of 90.00, 90.00 and 90.00 degrees. The inequivalent atoms are Nd at (0.0000, 0.0000, 0.0000), Th at (0.0000, 0.0000, 0.5000), Cu at (0.2500, 0.2500, 0.7500) and Tc at (0.2500, 0.2500, 0.2500).

The formation energy comes out at -0.03 eV per atom.

(5)
Entry from the Alexandria database: a relaxed NdTmCuTc crystal (PBE).

The space group is F-43m (No. 216) and the conventional cell measures 6.9546, 6.9546 and 6.9546 Å, with angles of 90.00, 90.00 and 90.00 degrees. The inequivalent atoms are Nd at (0.0000, 0.0000, 0.0000), Tm at (0.0000, 0.0000, 0.5000), Cu at (0.2500, 0.2500, 0.7500) and Tc at (0.2500, 0.2500, 0.2500).

The formation energy comes out at -0.03 eV per atom.

(6)
Entry from the Alexandria database: a relaxed NdCu2Te2 crystal (PBE).

The space group is C2/c (No. 15) and the conventional cell measures 9.1457, 11.1530 and 6.5371 Å, with angles of 90.00, 133.97 and 90.00 degrees. The inequivalent atoms are Nd at (0.0000, 0.1116, 0.2500), Cu at (0.1602, 0.4001, 0.7787), Te at (0.0000, 0.1785, 0.7500) and Te at (0.0000, 0.3966, 0.2500).

Its formation energy (no corrections) is -2.43 eV/f.u.

(7)
Entry from the Alexandria database: a relaxed Nd4CuTe3 crystal (PBE).

The space group is Cmmm (No. 65) and the conventional cell measures 9.0551, 12.5756 and 4.3349 Å, with angles of 90.00, 90.00 and 90.00 degrees. The inequivalent atoms are Nd at (0.0000, 0.2425, 0.0000), Nd at (0.2286, 0.0000, 0.5000), Cu at (0.0000, 0.0000, 0.0000), Te at (0.0000, 0.5000, 0.0000) and Te at (0.2500, 0.2500, 0.5000).

Its formation energy (no corrections) is -8.75 eV/f.u.

(8)
Entry from the Alexandria database: a relaxed NdCuTe crystal (PBE).

The space group is Cmcm (No. 63) and the conventional cell measures 4.0701, 17.2468 and 4.4163 Å, with angles of 90.00, 90.00 and 90.00 degrees. The inequivalent atoms are Nd at (0.0000, 0.1119, 0.2500), Cu at (0.0000, 0.4724, 0.2500) and Te at (0.0000, 0.3188, 0.2500).

Its formation energy (no corrections) is -2.42 eV/f.u.

What is the formula in the sixth record?
NdCu2Te2